Entry from OQMD via LeMat-Bulk: crystalline ScZnCoAu at its relaxed geometry (GGA-PBE).

Results
Raw total energy = -0.354 Ry/atom
Space-group type = No. 216
Energy above the lowest structure with this stoichiometry = 0.0 meV/atom
Formation enthalpy at 0 K = -1.27 eV/f.u.

POSCAR file:
```
ScZnCoAu
1.0
0.0000 3.1641 3.1641
3.1641 0.0000 3.1641
3.1641 3.1641 0.0000
Sc Zn Co Au
1 1 1 1
Direct
0.0000 0.0000 0.0000
0.5000 0.5000 0.5000
0.7500 0.7500 0.7500
0.2500 0.2500 0.2500
```

---

Entry from OQMD via LeMat-Bulk: crystalline ScZnCoAu at its relaxed geometry (GGA-PBE).

Results
Raw total energy = -0.344 Ry/atom
Space-group type = No. 216
Energy above the lowest structure with this stoichiometry = 125.4 meV/atom
Formation enthalpy at 0 K = -0.77 eV/f.u.

POSCAR file:
```
ScZnCoAu
1.0
0.0000 3.1808 3.1808
3.1808 0.0000 3.1808
3.1808 3.1808 0.0000
Sc Zn Co Au
1 1 1 1
Direct
0.0000 0.0000 0.0000
0.2500 0.2500 0.2500
0.5000 0.5000 0.5000
0.7500 0.7500 0.7500
```

---

Entry from OQMD via LeMat-Bulk: crystalline Co3AuSe5 at its relaxed geometry (GGA-PBE).

Results
Raw total energy = -0.340 Ry/atom
Space-group type = No. 191

POSCAR file:
```
Co3AuSe5
1.0
5.3253 0.0000 0.0000
-2.6626 4.6118 0.0000
0.0000 0.0000 6.8496
Co Au Se
3 1 5
Direct
0.0000 0.5000 0.0000
0.5000 0.0000 0.0000
0.5000 0.5000 0.0000
0.0000 0.0000 0.5000
0.0000 0.0000 0.0000
0.3333 0.6667 0.2588
0.3333 0.6667 0.7412
0.6667 0.3333 0.2588
0.6667 0.3333 0.7412
```

---

Entry from OQMD via LeMat-Bulk: crystalline CoSnAuSe3 at its relaxed geometry (GGA-PBE).

Results
Raw total energy = -0.320 Ry/atom
Space-group type = No. 63

POSCAR file:
```
CoSnAuSe3
1.0
1.8342 -7.5350 0.0000
1.8342 7.5350 0.0000
0.0000 0.0000 9.6794
Co Sn Au Se
2 2 2 6
Direct
0.0000 0.0000 0.0000
0.0000 0.0000 0.5000
0.3290 0.6710 0.7500
0.6710 0.3290 0.2500
0.3111 0.6889 0.2500
0.6889 0.3111 0.7500
0.0351 0.9649 0.2500
0.3975 0.6025 0.0228
0.3975 0.6025 0.4772
0.6025 0.3975 0.5228
0.6025 0.3975 0.9772
0.9649 0.0351 0.7500
```

---

Entry from OQMD via LeMat-Bulk: crystalline TlCoTe2AuSe at its relaxed geometry (GGA-PBE).

Results
Raw total energy = -0.279 Ry/atom
Space-group type = No. 63

POSCAR file:
```
TlCoTe2AuSe
1.0
1.9176 -7.9169 0.0000
1.9176 7.9169 0.0000
0.0000 0.0000 10.3164
Tl Co Te Au Se
2 2 4 2 2
Direct
0.2350 0.7650 0.7500
0.7650 0.2350 0.2500
0.5000 0.5000 0.0000
0.5000 0.5000 0.5000
0.1067 0.8933 0.5091
0.1067 0.8933 0.9909
0.8933 0.1067 0.0091
0.8933 0.1067 0.4909
0.1258 0.8742 0.2500
0.8742 0.1258 0.7500
0.4989 0.5011 0.7500
0.5011 0.4989 0.2500
```

---

Entry from OQMD via LeMat-Bulk: crystalline TlCoAuSe3 at its relaxed geometry (GGA-PBE).

Results
Raw total energy = -0.293 Ry/atom
Space-group type = No. 63

POSCAR file:
```
TlCoAuSe3
1.0
1.7937 -7.3895 0.0000
1.7937 7.3895 0.0000
0.0000 0.0000 10.2211
Tl Co Au Se
2 2 2 6
Direct
0.2118 0.7882 0.7500
0.7882 0.2118 0.2500
0.5000 0.5000 0.0000
0.5000 0.5000 0.5000
0.1277 0.8723 0.2500
0.8723 0.1277 0.7500
0.1068 0.8932 0.0073
0.1068 0.8932 0.4927
0.4747 0.5253 0.2500
0.5253 0.4747 0.7500
0.8932 0.1068 0.5073
0.8932 0.1068 0.9927
```

---

Entry from OQMD via LeMat-Bulk: crystalline CoSiAu at its relaxed geometry (GGA-PBE).

Results
Raw total energy = -0.391 Ry/atom
Space-group type = No. 216

POSCAR file:
```
CoSiAu
1.0
0.0000 2.8191 2.8191
2.8191 0.0000 2.8191
2.8191 2.8191 0.0000
Co Si Au
1 1 1
Direct
0.0000 0.0000 0.0000
0.7500 0.7500 0.7500
0.5000 0.5000 0.5000
```

---

Entry from OQMD via LeMat-Bulk: crystalline TaCoSiAu at its relaxed geometry (GGA-PBE).

Results
Raw total energy = -0.503 Ry/atom
Space-group type = No. 216
Energy above the lowest structure with this stoichiometry = 0.0 meV/atom

POSCAR file:
```
TaCoSiAu
1.0
0.0000 3.1015 3.1015
3.1015 0.0000 3.1015
3.1015 3.1015 0.0000
Ta Co Si Au
1 1 1 1
Direct
0.0000 0.0000 0.0000
0.5000 0.5000 0.5000
0.2500 0.2500 0.2500
0.7500 0.7500 0.7500
```

---

Entry from OQMD via LeMat-Bulk: crystalline TaCoSiAu at its relaxed geometry (GGA-PBE).

Results
Raw total energy = -0.494 Ry/atom
Space-group type = No. 216
Energy above the lowest structure with this stoichiometry = 115.5 meV/atom

POSCAR file:
```
TaCoSiAu
1.0
0.0000 3.1129 3.1129
3.1129 0.0000 3.1129
3.1129 3.1129 0.0000
Ta Co Si Au
1 1 1 1
Direct
0.0000 0.0000 0.0000
0.7500 0.7500 0.7500
0.5000 0.5000 0.5000
0.2500 0.2500 0.2500
```

---

Entry from OQMD via LeMat-Bulk: crystalline TbCoSi2Au at its relaxed geometry (GGA-PBE).

Results
Raw total energy = -0.425 Ry/atom
Space-group type = No. 119

POSCAR file:
```
TbCoSi2Au
1.0
-2.0271 2.0271 5.0604
2.0271 -2.0271 5.0604
2.0271 2.0271 -5.0604
Tb Co Si Au
1 1 2 1
Direct
0.0000 0.0000 0.0000
0.2500 0.7500 0.5000
0.3844 0.3844 0.0000
0.6156 0.6156 0.0000
0.7500 0.2500 0.5000
```

---

Entry from OQMD via LeMat-Bulk: crystalline CoSiTcAu at its relaxed geometry (GGA-PBE).

Results
Raw total energy = -0.469 Ry/atom
Space-group type = No. 216
Energy above the lowest structure with this stoichiometry = 0.0 meV/atom

POSCAR file:
```
CoSiTcAu
1.0
0.0000 3.0309 3.0309
3.0309 0.0000 3.0309
3.0309 3.0309 0.0000
Co Si Tc Au
1 1 1 1
Direct
0.0000 0.0000 0.0000
0.7500 0.7500 0.7500
0.5000 0.5000 0.5000
0.2500 0.2500 0.2500
```

---

Entry from OQMD via LeMat-Bulk: crystalline CoSiWAu at its relaxed geometry (GGA-PBE).

Results
Raw total energy = -0.504 Ry/atom
Space-group type = No. 216
Energy above the lowest structure with this stoichiometry = 0.0 meV/atom

POSCAR file:
```
CoSiWAu
1.0
0.0000 3.0597 3.0597
3.0597 0.0000 3.0597
3.0597 3.0597 0.0000
Co Si W Au
1 1 1 1
Direct
0.0000 0.0000 0.0000
0.7500 0.7500 0.7500
0.5000 0.5000 0.5000
0.2500 0.2500 0.2500
```

---

Entry from OQMD via LeMat-Bulk: crystalline CoSiWAu at its relaxed geometry (GGA-PBE).

Results
Raw total energy = -0.486 Ry/atom
Space-group type = No. 216
Energy above the lowest structure with this stoichiometry = 250.7 meV/atom

POSCAR file:
```
CoSiWAu
1.0
0.0000 3.0732 3.0732
3.0732 0.0000 3.0732
3.0732 3.0732 0.0000
Co Si W Au
1 1 1 1
Direct
0.0000 0.0000 0.0000
0.7500 0.7500 0.7500
0.2500 0.2500 0.2500
0.5000 0.5000 0.5000
```

---

Entry from OQMD via LeMat-Bulk: crystalline YCoSiAu at its relaxed geometry (GGA-PBE).

Results
Raw total energy = -0.421 Ry/atom
Space-group type = No. 216
Energy above the lowest structure with this stoichiometry = 18.6 meV/atom

POSCAR file:
```
YCoSiAu
1.0
0.0000 3.2712 3.2712
3.2712 0.0000 3.2712
3.2712 3.2712 0.0000
Y Co Si Au
1 1 1 1
Direct
0.0000 0.0000 0.0000
0.5000 0.5000 0.5000
0.2500 0.2500 0.2500
0.7500 0.7500 0.7500
```

---

Entry from OQMD via LeMat-Bulk: crystalline YCoSiAu at its relaxed geometry (GGA-PBE).

Results
Raw total energy = -0.422 Ry/atom
Space-group type = No. 216
Energy above the lowest structure with this stoichiometry = 0.0 meV/atom

POSCAR file:
```
YCoSiAu
1.0
0.0000 3.2616 3.2616
3.2616 0.0000 3.2616
3.2616 3.2616 0.0000
Y Co Si Au
1 1 1 1
Direct
0.0000 0.0000 0.0000
0.7500 0.7500 0.7500
0.5000 0.5000 0.5000
0.2500 0.2500 0.2500
```